# 1
A geometry-optimized YSnPb2W structure, computed with PBE-GGA. Values from VASP.

```
&SYSTEM
  ibrav = 0, nat = 5, ntyp = 4
/
ATOMIC_SPECIES
Y 88.91 Y.upf
Pb 207.20 Pb.upf
W 183.84 W.upf
Sn 118.71 Sn.upf
CELL_PARAMETERS angstrom
-4.004 -2.383 -3.157
-0.804 -4.003 4.041
-3.876 3.259 2.457
ATOMIC_POSITIONS crystal
Y 0.000 0.500 0.000
Pb 0.500 0.000 0.000
Pb 0.000 0.000 0.500
W 0.500 0.500 0.500
Sn 0.000 0.000 0.000
```

Summary:
- calculated formation energy (eV per atom) = 1.53
- size of the total moment (μB per formula unit) = 4.17
- space-group type = P4/mmm (123)

# 2
A geometry-optimized Y7Sn2Pb2 structure, computed with PBE-GGA. Values from VASP.

```
&SYSTEM
  ibrav = 0, nat = 11, ntyp = 3
/
ATOMIC_SPECIES
Y 88.91 Y.upf
Sn 118.71 Sn.upf
Pb 207.20 Pb.upf
CELL_PARAMETERS angstrom
-3.043 -0.519 6.438
4.989 -4.865 1.965
4.731 5.254 0.996
ATOMIC_POSITIONS crystal
Y 0.000 0.000 0.000
Y 0.500 0.274 0.000
Y 0.000 0.274 0.500
Y 0.500 0.726 0.000
Y 0.000 0.726 0.500
Y 0.500 0.262 0.500
Y 0.500 0.738 0.500
Sn 0.278 0.000 0.722
Sn 0.722 0.000 0.278
Pb 0.815 0.500 0.815
Pb 0.185 0.500 0.185
```

Summary:
- calculated formation energy (eV per atom) = -0.26
- size of the total moment (μB per formula unit) = 1.92
- space-group type = Cmmm (65)

# 3
A geometry-optimized Y2SnPb structure, computed with PBE-GGA. Values from VASP.

```
&SYSTEM
  ibrav = 0, nat = 8, ntyp = 3
/
ATOMIC_SPECIES
Y 88.91 Y.upf
Pb 207.20 Pb.upf
Sn 118.71 Sn.upf
CELL_PARAMETERS angstrom
-0.124 -6.361 -5.350
0.527 -5.346 6.344
-3.280 -5.956 0.700
ATOMIC_POSITIONS crystal
Y 0.129 0.625 0.250
Y 0.375 0.379 0.750
Y 0.621 0.125 0.250
Y 0.875 0.871 0.750
Pb 0.000 0.000 0.000
Pb 0.750 0.250 0.500
Sn 0.250 0.750 0.500
Sn 0.500 0.500 0.000
```

Summary:
- energy above the lowest structure with this stoichiometry (eV per atom) = 0.273
- calculated formation energy (eV per atom) = -0.36
- size of the total moment (μB per formula unit) = 0.00
- space-group type = I-42d (122)

# 4
A geometry-optimized YSnPb structure, computed with PBE-GGA. Values from VASP.

```
&SYSTEM
  ibrav = 0, nat = 3, ntyp = 3
/
ATOMIC_SPECIES
Pb 207.20 Pb.upf
Y 88.91 Y.upf
Sn 118.71 Sn.upf
CELL_PARAMETERS angstrom
3.387 0.000 0.000
0.000 5.409 0.000
0.000 -2.704 4.684
ATOMIC_POSITIONS crystal
Pb 0.169 0.333 0.667
Y 0.667 0.667 0.333
Sn 0.164 0.000 0.000
```

Summary:
- energy above the lowest structure with this stoichiometry (eV per atom) = 0.227
- calculated formation energy (eV per atom) = -0.28
- size of the total moment (μB per formula unit) = 0.00
- space-group type = P3m1 (156)

# 5
A geometry-optimized YSn3Pb structure, computed with PBE-GGA. Values from VASP.

```
&SYSTEM
  ibrav = 0, nat = 5, ntyp = 3
/
ATOMIC_SPECIES
Pb 207.20 Pb.upf
Sn 118.71 Sn.upf
Y 88.91 Y.upf
CELL_PARAMETERS angstrom
5.753 0.000 0.000
0.000 5.753 0.000
0.000 0.000 5.753
ATOMIC_POSITIONS crystal
Pb 0.500 0.500 0.500
Sn 0.000 0.500 0.000
Sn 0.500 0.000 0.000
Sn 0.000 0.000 0.500
Y 0.000 0.000 0.000
```

Summary:
- energy above the lowest structure with this stoichiometry (eV per atom) = 0.000
- calculated formation energy (eV per atom) = 0.41
- size of the total moment (μB per formula unit) = 0.00
- space-group type = Pm-3m (221)

# 6
A geometry-optimized Y2Sn2Pb structure, computed with PBE-GGA. Values from VASP.

```
&SYSTEM
  ibrav = 0, nat = 5, ntyp = 3
/
ATOMIC_SPECIES
Y 88.91 Y.upf
Sn 118.71 Sn.upf
Pb 207.20 Pb.upf
CELL_PARAMETERS angstrom
-3.635 -2.516 2.526
-1.143 -2.595 -4.229
1.771 -6.974 0.736
ATOMIC_POSITIONS crystal
Y 0.750 0.250 0.500
Y 0.250 0.750 0.500
Sn 0.388 0.388 0.224
Sn 0.612 0.612 0.776
Pb 0.000 0.000 0.000
```

Summary:
- calculated formation energy (eV per atom) = -0.16
- size of the total moment (μB per formula unit) = 0.19
- space-group type = I4/mmm (139)

# 7
A geometry-optimized YSnPb2 structure, computed with PBE-GGA. Values from VASP.

```
&SYSTEM
  ibrav = 0, nat = 8, ntyp = 3
/
ATOMIC_SPECIES
Y 88.91 Y.upf
Sn 118.71 Sn.upf
Pb 207.20 Pb.upf
CELL_PARAMETERS angstrom
8.752 0.000 0.000
0.000 8.752 0.000
4.376 4.376 3.192
ATOMIC_POSITIONS crystal
Y 0.500 0.500 0.000
Y 0.250 0.750 0.500
Sn 0.000 0.000 0.000
Sn 0.750 0.250 0.500
Pb 0.875 0.888 0.750
Pb 0.112 0.625 0.250
Pb 0.638 0.125 0.250
Pb 0.375 0.362 0.750
```

Summary:
- calculated formation energy (eV per atom) = -0.11
- size of the total moment (μB per formula unit) = 0.00
- space-group type = I-42d (122)

# 8
A geometry-optimized Y8SnPb5 structure, computed with PBE-GGA. Values from VASP.

```
&SYSTEM
  ibrav = 0, nat = 14, ntyp = 3
/
ATOMIC_SPECIES
Pb 207.20 Pb.upf
Y 88.91 Y.upf
Sn 118.71 Sn.upf
CELL_PARAMETERS angstrom
7.684 0.000 -2.672
-3.820 6.643 -2.732
-0.044 0.000 8.135
ATOMIC_POSITIONS crystal
Pb 0.998 0.375 0.124
Pb 0.500 0.000 0.500
Pb 0.376 0.126 0.002
Pb 0.876 0.874 0.251
Pb 0.749 0.625 0.624
Y 0.125 0.748 0.013
Y 0.987 0.112 0.736
Y 0.126 0.749 0.517
Y 0.622 0.391 0.874
Y 0.769 0.251 0.378
Y 0.623 0.888 0.875
Y 0.264 0.252 0.377
Y 0.483 0.609 0.231
Sn 0.250 0.500 0.750
```

Summary:
- calculated formation energy (eV per atom) = -0.62
- size of the total moment (μB per formula unit) = 0.00
- space-group type = I-4 (82)

# 9
A geometry-optimized Y2SnPb structure, computed with PBE-GGA. Values from VASP.

```
&SYSTEM
  ibrav = 0, nat = 8, ntyp = 3
/
ATOMIC_SPECIES
Y 88.91 Y.upf
Sn 118.71 Sn.upf
Pb 207.20 Pb.upf
CELL_PARAMETERS angstrom
4.384 0.000 0.000
0.000 6.208 -0.066
0.000 -3.184 8.422
ATOMIC_POSITIONS crystal
Y 0.250 0.769 0.563
Y 0.750 0.231 0.437
Y 0.750 0.240 0.931
Y 0.250 0.760 0.069
Sn 0.750 0.690 0.298
Sn 0.250 0.310 0.702
Pb 0.250 0.301 0.201
Pb 0.750 0.699 0.799
```

Summary:
- energy above the lowest structure with this stoichiometry (eV per atom) = 0.000
- calculated formation energy (eV per atom) = -0.64
- size of the total moment (μB per formula unit) = 0.00
- space-group type = P2_1/m (11)

# 10
A geometry-optimized YSn2Pb2 structure, computed with PBE-GGA. Values from VASP.

```
&SYSTEM
  ibrav = 0, nat = 10, ntyp = 3
/
ATOMIC_SPECIES
Sn 118.71 Sn.upf
Pb 207.20 Pb.upf
Y 88.91 Y.upf
CELL_PARAMETERS angstrom
-1.342 3.778 7.010
-5.440 -5.626 1.991
3.319 -2.507 1.986
ATOMIC_POSITIONS crystal
Sn 0.129 0.371 0.000
Sn 0.871 0.629 0.000
Sn 0.629 0.129 0.000
Sn 0.371 0.871 0.000
Pb 0.173 0.673 0.500
Pb 0.327 0.173 0.500
Pb 0.827 0.327 0.500
Pb 0.673 0.827 0.500
Y 0.000 0.000 0.000
Y 0.500 0.500 0.000
```

Summary:
- energy above the lowest structure with this stoichiometry (eV per atom) = 0.165
- calculated formation energy (eV per atom) = -0.14
- size of the total moment (μB per formula unit) = 0.00
- space-group type = P4/mbm (127)

# 11
A geometry-optimized YSn2Pb2 structure, computed with PBE-GGA. Values from VASP.

```
&SYSTEM
  ibrav = 0, nat = 5, ntyp = 3
/
ATOMIC_SPECIES
Pb 207.20 Pb.upf
Sn 118.71 Sn.upf
Y 88.91 Y.upf
CELL_PARAMETERS angstrom
4.295 0.000 0.000
0.000 4.295 0.000
2.148 2.148 8.411
ATOMIC_POSITIONS crystal
Pb 0.408 0.408 0.185
Pb 0.592 0.592 0.815
Sn 0.250 0.750 0.500
Sn 0.750 0.250 0.500
Y 0.000 0.000 0.000
```

Summary:
- energy above the lowest structure with this stoichiometry (eV per atom) = 0.290
- calculated formation energy (eV per atom) = -0.02
- size of the total moment (μB per formula unit) = 0.00
- space-group type = I4/mmm (139)

# 12
A geometry-optimized Y5Sn2Pb2 structure, computed with PBE-GGA. Values from VASP.

```
&SYSTEM
  ibrav = 0, nat = 18, ntyp = 3
/
ATOMIC_SPECIES
Pb 207.20 Pb.upf
Y 88.91 Y.upf
Sn 118.71 Sn.upf
CELL_PARAMETERS angstrom
-5.490 2.224 -5.688
-1.785 -7.876 -1.358
-8.305 1.426 2.646
ATOMIC_POSITIONS crystal
Pb 0.293 0.500 0.415
Pb 0.793 0.000 0.415
Pb 0.707 0.500 0.585
Pb 0.207 0.000 0.585
Y 0.465 0.167 0.731
Y 0.696 0.333 0.269
Y 0.304 0.667 0.731
Y 0.965 0.333 0.731
Y 0.000 0.000 0.000
Y 0.035 0.667 0.269
Y 0.196 0.167 0.269
Y 0.535 0.833 0.269
Y 0.500 0.500 0.000
Y 0.804 0.833 0.731
Sn 0.866 0.634 0.000
Sn 0.134 0.366 0.000
Sn 0.366 0.866 0.000
Sn 0.634 0.134 0.000
```

Summary:
- calculated formation energy (eV per atom) = -0.70
- size of the total moment (μB per formula unit) = 0.00
- space-group type = Cmce (64)